No. 1
! MgZr2TlIn PBE-GGA optimized geometry; values from VASP
&SYSTEM
  ibrav = 0, nat = 5, ntyp = 4
/
ATOMIC_SPECIES
Zr 91.22 Zr.upf
Mg 24.30 Mg.upf
Tl 204.38 Tl.upf
In 114.82 In.upf
CELL_PARAMETERS angstrom
5.4310 0.0000 0.0000
0.0000 5.3528 0.0000
0.0000 0.0000 5.4310
ATOMIC_POSITIONS crystal
Zr 0.0000 0.0000 0.5000
Zr 0.5000 0.0000 0.0000
Mg 0.5000 0.5000 0.5000
Tl 0.0000 0.0000 0.0000
In 0.0000 0.5000 0.0000
! Calculated formation energy, eV/atom: 1.008


No. 2
! BaZnH3 PBE-GGA optimized geometry; values from VASP
&SYSTEM
  ibrav = 0, nat = 5, ntyp = 3
/
ATOMIC_SPECIES
Ba 137.33 Ba.upf
H 1.01 H.upf
Zn 65.41 Zn.upf
CELL_PARAMETERS angstrom
4.0544 0.0000 0.0000
0.0000 4.0544 0.0000
0.0000 0.0000 4.0544
ATOMIC_POSITIONS crystal
Ba 0.5000 0.5000 0.5000
H 0.0000 0.0000 0.5000
H 0.5000 0.0000 0.0000
H 0.0000 0.5000 0.0000
Zn 0.0000 0.0000 0.0000
! ΔE to the lowest computed polymorph, eV/f.u.: 0.60


No. 3
! K2CaFe PBE-GGA optimized geometry; values from VASP
&SYSTEM
  ibrav = 0, nat = 4, ntyp = 3
/
ATOMIC_SPECIES
Ca 40.08 Ca.upf
K 39.10 K.upf
Fe 55.84 Fe.upf
CELL_PARAMETERS angstrom
-1.2417 3.5891 -0.4652
-3.5792 -1.3035 -0.3602
-1.4820 0.9502 11.2867
ATOMIC_POSITIONS crystal
Ca 0.5000 0.5000 0.2500
K 0.0000 0.0000 0.5529
Fe 0.5000 0.5000 0.7500
K 0.0000 0.0000 0.9471
! Calculated formation energy, eV/atom: 0.832
! ΔE to the lowest computed polymorph, eV/f.u.: 1.01